No. 1
A plane-wave DFT calculation with GGA-PBE was carried out for crystalline Sr2AlCd3Ag4 at its relaxed geometry.

Cell and atoms, written as POSCAR:
```
Sr2AlCd3Ag4
1.0
4.779 0.000 0.000
0.000 4.779 0.000
0.000 0.000 11.061
Sr Al Cd Ag
2 1 3 4
direct
0.500 0.000 0.251
0.000 0.500 0.749
0.500 0.500 0.500
0.000 0.000 0.500
0.500 0.000 0.867
0.000 0.500 0.133
0.500 0.500 0.000
0.000 0.000 0.000
0.500 0.000 0.620
0.000 0.500 0.380
```

Output
- calculated volume (Å³/cell) = 252.7
- N(E_F) (states/eV per atom) = 0.40
- symmetry = P-4m2
- density (g cm⁻³) = 6.38
- formation energy from the elements (kJ/mol of formula units) = -189.0

***

No. 2
A plane-wave DFT calculation with GGA-PBE was carried out for crystalline Sr2Al4CdAg3 at its relaxed geometry.

Cell and atoms, written as POSCAR:
```
Sr2Al4CdAg3
1.0
4.499 0.000 0.000
0.000 4.499 0.000
0.000 0.000 11.248
Sr Al Cd Ag
2 4 1 3
direct
0.500 0.000 0.247
0.000 0.500 0.753
0.500 0.500 0.000
0.000 0.000 0.000
0.500 0.000 0.638
0.000 0.500 0.362
0.500 0.500 0.500
0.000 0.000 0.500
0.500 0.000 0.872
0.000 0.500 0.128
```

Output
- calculated volume (Å³/cell) = 227.7
- N(E_F) (states/eV per atom) = 0.38
- symmetry = P-4m2
- density (g cm⁻³) = 5.25
- formation energy from the elements (kJ/mol of formula units) = -231.9